1.
Entry from Alexandria: a relaxed LiTmAl4Pd2 crystal (PBE).

abc: 4.2699 4.2699 8.8947
angles: 76.11 76.11 60.00
Fractional coordinates of all 8 atoms:
Al  0.1301  0.1301  0.6098
Al  0.4012  0.4012  0.7965
Al  0.8699  0.8699  0.3902
Al  0.5988  0.5988  0.2035
Li  0.5000  0.5000  0.5000
Pd  0.2355  0.2355  0.2935
Pd  0.7645  0.7645  0.7065
Tm  0.0000  0.0000  0.0000

Computed properties:
VASP energy	-4.587	eV/atom
N(E_F)	2.77	states/eV/f.u.
calculated volume	134.9	Å³/f.u.
formation energy	-0.6192	eV per atom

***

2.
Entry from Alexandria: a relaxed LiAlV2Pd crystal (PBE).

abc: 4.6397 4.3407 4.6397
angles: 90.00 90.00 90.00
Fractional coordinates of all 5 atoms:
Al  0.5000  0.5000  0.5000
V  0.0000  0.0000  0.5000
V  0.5000  0.0000  0.0000
Pd  0.0000  0.0000  0.0000
Li  0.0000  0.5000  0.0000

Computed properties:
VASP energy	-4.918	eV/atom
N(E_F)	6.54	states/eV/f.u.
calculated volume	93.4	Å³/f.u.
formation energy	0.8996	eV per atom

***

3.
Entry from Alexandria: a relaxed LiYAl2Pd4 crystal (PBE).

abc: 4.3197 4.3197 8.5375
angles: 75.35 75.35 60.00
Fractional coordinates of all 8 atoms:
Pd  0.4000  0.4000  0.8001
Pd  0.1293  0.1293  0.6121
Pd  0.8707  0.8707  0.3879
Pd  0.6000  0.6000  0.1999
Al  0.2375  0.2375  0.2876
Al  0.7625  0.7625  0.7124
Li  0.5000  0.5000  0.5000
Y  0.0000  0.0000  0.0000

Computed properties:
VASP energy	-5.413	eV/atom
N(E_F)	3.50	states/eV/f.u.
calculated volume	132.0	Å³/f.u.
formation energy	-0.8338	eV per atom

***

4.
Entry from Alexandria: a relaxed Li2YAlPd4 crystal (PBE).

abc: 4.4274 4.4274 7.9854
angles: 73.91 73.91 60.00
Fractional coordinates of all 8 atoms:
Li  0.2448  0.2448  0.2655
Li  0.7552  0.7552  0.7345
Pd  0.1306  0.1306  0.6083
Pd  0.8694  0.8694  0.3917
Pd  0.3898  0.3898  0.8305
Pd  0.6102  0.6102  0.1695
Y  0.0000  0.0000  0.0000
Al  0.5000  0.5000  0.5000

Computed properties:
VASP energy	-5.069	eV/atom
N(E_F)	3.74	states/eV/f.u.
calculated volume	128.4	Å³/f.u.
formation energy	-0.7181	eV per atom